VASP calculation (PBE) on MnSn2IrCl after structural relaxation.

Lattice parameters (Å, degrees): 5.159 5.159 5.168 90.00 90.00 90.00
Fractional coordinates of all 5 atoms:
Mn 0.000 0.000 0.000
Sn 0.000 0.500 0.500
Sn 0.500 0.000 0.500
Ir 0.500 0.500 0.500
Cl 0.500 0.500 0.000

Calculated values
energy relative to the elements, uncorrected: 0.5329 eV per atom
DOS(E_F): 3.34 states/eV per cell
calculated total energy: -5.04 eV per atom

VASP calculation (PBE) on InHgBr2 after structural relaxation.

Lattice parameters (Å, degrees): 6.053 6.814 8.290 100.96 93.20 112.74
Fractional coordinates of all 8 atoms:
In 0.000 0.000 0.000
In 0.412 0.445 0.538
Hg 0.286 0.901 0.201
Hg 0.914 0.435 0.580
Br 0.179 0.042 0.728
Br 0.564 0.690 0.906
Br 0.599 0.860 0.409
Br 0.918 0.338 0.122

Calculated values
energy relative to the elements, uncorrected: -0.5415 eV per atom
polymorph energy (0 for the lowest one): 22.1 meV per atom
calculated total energy: -2.14 eV per atom

no.,spin magnetization (μB per cell)
1,4.61
2,0.00